1.
Material: TlCdSnBi
Method: DFT, PBE
State: optimized geometry

Lattice parameters (Å, degrees): 3.5652 3.5652 9.0729 90.02 89.98 90.04
Positions (direct):
Tl 0.6456 0.3544 0.9647
Cd 0.6468 0.3532 0.4841
Bi 0.1459 0.8541 0.2447
Sn 0.1466 0.8534 0.6953

Computed properties:
ρ	9.28	Mg/m³
volume	28.83	A^3/atom
energy above the lowest structure with this stoichiometry	0	meV/atom
E	-10.95	eV per cell
SG	No. 8
energy relative to the elements	0.05	eV per atom
crystal system	monoclinic

2.
Material: Sr2PtBr
Method: DFT, PBE
State: optimized geometry

Lattice parameters (Å, degrees): 8.5342 8.5342 4.1929 90.03 90.03 26.66
Positions (direct):
Sr 0.9371 0.9371 0.1258
Sr 0.7288 0.7288 0.6241
Br 0.5341 0.5341 0.6260
Pt 0.3000 0.3000 0.1241

Computed properties:
ΔE_f (raw)	-1130	meV/atom
ρ	5.46	Mg/m³
volume	34.26	A^3/atom
energy above the lowest structure with this stoichiometry	115	meV/atom
E	-15.60	eV per cell
SG	No. 8
crystal system	monoclinic

3.
Material: Np4Sn8Rh
Method: DFT, PBE
State: optimized geometry

Lattice parameters (Å, degrees): 4.4087 4.5828 16.2626 90.00 90.00 90.00
Each line ends with the local moment (μB).
Positions (direct):
Sn 0.5000 0.0000 0.5854  -0.03
Rh 0.0000 0.0000 0.3060  -0.07
Sn 0.0000 0.0000 0.7552  0.00
Np 0.0000 0.0000 0.0812  3.82
Sn 0.0000 0.0000 0.4637  -0.04
Sn 0.5000 0.5000 0.0616  -0.03
Np 0.5000 0.5000 0.3990  4.03
Np 0.0000 0.5000 0.6058  3.88
Sn 0.0000 0.5000 0.9273  -0.03
Sn 0.5000 0.5000 0.7603  0.01
Sn 0.0000 0.5000 0.2255  -0.02
Np 0.5000 0.0000 0.9101  3.90
Sn 0.5000 0.0000 0.2219  -0.01

Computed properties:
ρ	10.11	Mg/m³
volume	25.27	A^3/atom
E	-92.18	eV per cell
SG	No. 25
energy relative to the elements	-0.08	eV per atom
crystal system	orthorhombic

4.
Material: BeZnI3
Method: DFT, PBE
State: optimized geometry

Lattice parameters (Å, degrees): 5.5935 5.5935 5.5935 90.00 90.00 90.00
Each line ends with the local moment (μB).
Positions (direct):
I 0.0000 0.5000 0.0000  0.08
Zn 0.0000 0.0000 0.0000  0.01
I 0.0000 0.0000 0.5000  0.04
Be 0.5000 0.5000 0.5000  0.25
I 0.5000 0.0000 0.0000  0.06

Computed properties:
ΔE_f (raw)	506	meV/atom
ρ	4.32	Mg/m³
volume	35.00	A^3/atom
energy above the lowest structure with this stoichiometry	329	meV/atom
E	-7.12	eV per cell
SG	No. 221
crystal system	cubic

5.
Material: IrSe2Cl
Method: DFT, PBE
State: optimized geometry

Lattice parameters (Å, degrees): 6.1733 6.1733 6.1733 151.84 132.99 55.70
Positions (direct):
Ir 0.2500 0.7500 0.5000
Cl 0.7500 0.2500 0.5000
Se 0.4358 0.4358 0.0000
Se 0.0642 0.0642 0.0000

Computed properties:
ΔE_f (raw)	328	meV/atom
ρ	7.93	Mg/m³
volume	20.18	A^3/atom
energy above the lowest structure with this stoichiometry	585	meV/atom
E	-16.37	eV per cell
SG	No. 71
crystal system	orthorhombic

6.
Material: TlCuF3
Method: DFT, PBE
State: optimized geometry

Lattice parameters (Å, degrees): 3.7802 3.7802 6.9120 90.00 90.00 90.00
Positions (direct):
F 0.0000 0.0000 0.7866
F 0.5000 0.0000 0.4400
F 0.0000 0.5000 0.4400
Cu 0.5000 0.5000 0.4918
Tl 0.0000 0.0000 0.1053

Computed properties:
ΔE_f (raw)	-1316	meV/atom
ρ	5.46	Mg/m³
volume	19.75	A^3/atom
E	-18.65	eV per cell
SG	No. 99
crystal system	tetragonal